Record 1
# BaPt2W2

A relaxed structure of BaPt2W2 (GGA-PBE, Alexandria via LeMat-Bulk).

Properties
**Total magnetization**: 0.00 μB/f.u.
**E_form**: 416.6 meV per atom

Geometry as CIF:
```
data_BaPt2W2
_symmetry_space_group_name_H-M 'P 4/m b m'
_symmetry_Int_Tables_number 127
_symmetry_space_group_name_Hall '-P 4 2ab'
_cell_length_a 8.288
_cell_length_b 8.288
_cell_length_c 2.806
_cell_angle_alpha 90.00
_cell_angle_beta 90.00
_cell_angle_gamma 90.00
loop_
_atom_site_label
_atom_site_type_symbol
_atom_site_fract_x
_atom_site_fract_y
_atom_site_fract_z
_atom_site_occupancy
Ba1 Ba 0.000 0.000 0.000 1
Pt1 Pt 0.121 0.379 0.000 1
W1 W 0.170 0.670 0.500 1
```

Record 2
# Ba2PtW

A relaxed structure of Ba2PtW (GGA-PBE, Alexandria via LeMat-Bulk).

Properties
**Total magnetization**: 3.32 μB/f.u.
**E_form**: 831.7 meV per atom

Geometry as CIF:
```
data_Ba2PtW
_symmetry_space_group_name_H-M 'C m m m'
_symmetry_Int_Tables_number 65
_symmetry_space_group_name_Hall '-C 2 2'
_cell_length_a 7.145
_cell_length_b 8.387
_cell_length_c 3.990
_cell_angle_alpha 90.00
_cell_angle_beta 90.00
_cell_angle_gamma 90.00
loop_
_atom_site_label
_atom_site_type_symbol
_atom_site_fract_x
_atom_site_fract_y
_atom_site_fract_z
_atom_site_occupancy
Ba1 Ba 0.250 0.250 0.000 1
Pt1 Pt 0.000 0.000 0.500 1
W1 W 0.000 0.500 0.500 1
```

Record 3
# BaPt3W

A relaxed structure of BaPt3W (GGA-PBE, Alexandria via LeMat-Bulk).

Properties
**Total magnetization**: 0.00 μB/f.u.
**E_form**: 2716.4 meV per atom

Geometry as CIF:
```
data_BaPt3W
_symmetry_space_group_name_H-M 'P m -3 m'
_symmetry_Int_Tables_number 221
_symmetry_space_group_name_Hall '-P 4 2 3'
_cell_length_a 5.151
_cell_length_b 5.151
_cell_length_c 5.151
_cell_angle_alpha 90.00
_cell_angle_beta 90.00
_cell_angle_gamma 90.00
loop_
_atom_site_label
_atom_site_type_symbol
_atom_site_fract_x
_atom_site_fract_y
_atom_site_fract_z
_atom_site_occupancy
Ba1 Ba 0.000 0.000 0.000 1
Pt1 Pt 0.000 0.000 0.500 1
W1 W 0.500 0.500 0.500 1
```

Record 4
# BaPtW3

A relaxed structure of BaPtW3 (GGA-PBE, Alexandria via LeMat-Bulk).

Properties
**Total magnetization**: 2.70 μB/f.u.
**E_form**: 1871.2 meV per atom

Geometry as CIF:
```
data_BaPtW3
_symmetry_space_group_name_H-M 'P m -3 m'
_symmetry_Int_Tables_number 221
_symmetry_space_group_name_Hall '-P 4 2 3'
_cell_length_a 4.984
_cell_length_b 4.984
_cell_length_c 4.984
_cell_angle_alpha 90.00
_cell_angle_beta 90.00
_cell_angle_gamma 90.00
loop_
_atom_site_label
_atom_site_type_symbol
_atom_site_fract_x
_atom_site_fract_y
_atom_site_fract_z
_atom_site_occupancy
Ba1 Ba 0.000 0.000 0.000 1
Pt1 Pt 0.500 0.500 0.500 1
W1 W 0.000 0.500 0.500 1
```

The evaluated ΔE to the lowest computed polymorph for the records listed, in turn: 230; 514; 2653; 0 meV per atom.